1.
## FeCuCl2 (PBE)

Data for FeCuCl2 after structural relaxation.

a = 4.9938 Å, b = 4.9938 Å, c = 5.8933 Å
α = 83.64°, β = 83.64°, γ = 38.08°
Each line ends with the local moment (μB).
Atoms (fractional coordinates):
Fe 0.2825 0.2825 0.3736  2.95
Cu 0.5778 0.5778 0.3231  0.02
Cl 0.7037 0.7037 0.6525  0.07
Cl 0.9361 0.9361 0.1508  0.04

Computed properties:
Theoretical density ... 3.51 g cm⁻³
E_tot ... -16.68 eV per cell
Space group ... Cm (8)
Energy relative to the lowest polymorph listed for this composition ... 113.5 meV/atom

2.
## FeCu2Cl (PBE)

Data for FeCu2Cl after structural relaxation.

a = 6.9572 Å, b = 6.9572 Å, c = 5.5090 Å
α = 50.84°, β = 50.84°, γ = 90.00°
Each line ends with the local moment (μB).
Atoms (fractional coordinates):
Cu 0.3750 0.3829 0.7500  0.07
Cu 0.1329 0.6250 0.2500  0.07
Cu 0.8750 0.8671 0.7500  0.07
Cu 0.6171 0.1250 0.2500  0.07
Cl 0.5000 0.5000 0.0000  0.05
Cl 0.2500 0.7500 0.5000  0.05
Fe 0.7500 0.2500 0.5000  2.94
Fe 0.0000 0.0000 0.0000  2.96

Computed properties:
Theoretical density ... 6.04 g cm⁻³
E_tot ... -32.59 eV per cell
Space group ... I-42d (122)
Energy relative to the lowest polymorph listed for this composition ... 432.9 meV/atom

3.
## FeCuCl2 (PBE)

Data for FeCuCl2 after structural relaxation.

a = 3.2134 Å, b = 6.3948 Å, c = 3.6599 Å
α = 90.00°, β = 90.00°, γ = 90.00°
Each line ends with the local moment (μB).
Atoms (fractional coordinates):
Cl 0.0000 0.0000 0.0000  -0.01
Cl 0.5000 0.5000 0.0000  0.07
Fe 0.0000 0.5000 0.5000  2.93
Cu 0.5000 0.0000 0.5000  -0.01

Computed properties:
Theoretical density ... 4.20 g cm⁻³
E_tot ... -15.80 eV per cell
Space group ... Pmmm (47)
Energy relative to the lowest polymorph listed for this composition ... 334.3 meV/atom

4.
## FeCu2Cl (PBE)

Data for FeCu2Cl after structural relaxation.

a = 2.9397 Å, b = 2.9397 Å, c = 6.6277 Å
α = 90.00°, β = 90.00°, γ = 90.00°
Each line ends with the local moment (μB).
Atoms (fractional coordinates):
Cu 0.0000 0.0000 0.0216  0.08
Cu 0.0000 0.0000 0.4784  0.08
Cl 0.5000 0.5000 0.7500  0.01
Fe 0.5000 0.5000 0.2500  2.82

Computed properties:
Theoretical density ... 6.33 g cm⁻³
E_tot ... -17.32 eV per cell
Space group ... P4/mmm (123)
Energy relative to the lowest polymorph listed for this composition ... 177.1 meV/atom

Number 1: ΔE_f (raw) -0.11 eV/atom, M_tot 3.1 μB per formula unit. Number 2: ΔE_f (raw) 0.55 eV/atom, M_tot 3.1 μB per formula unit. Number 3: ΔE_f (raw) 0.11 eV/atom, M_tot 3.0 μB per formula unit. Number 4: ΔE_f (raw) 0.30 eV/atom, M_tot 2.9 μB per formula unit.